! NaMgZn2F8 | Alexandria via LeMat-Bulk | PBE-GGA | optimized geometry; values from VASP
! - Fermi-level density of states (states/eV per cell) = 5.0
! - formation energy (no corrections) (meV per atom) = -2492
&SYSTEM
  ibrav = 0, nat = 12, ntyp = 4
/
ATOMIC_SPECIES
Na 22.99 Na.upf
Mg 24.30 Mg.upf
Zn 65.41 Zn.upf
F 19.00 F.upf
ATOMIC_POSITIONS angstrom
Na -0.7522 -2.6307 1.7520
Mg 0.0000 0.0000 0.0000
Zn -4.2101 -4.3150 1.1390
Zn -3.5238 -1.6769 -0.6576
F -2.6290 -2.6827 -2.0733
F -4.3649 -0.5616 -2.0913
F -4.2465 -0.4101 0.6420
F -5.1049 -3.3092 2.5548
F -3.3691 -5.4302 2.5728
F -3.4875 -5.5818 -0.1606
F -4.9880 -3.1796 -0.2792
F -2.7460 -2.8123 0.7606
CELL_PARAMETERS angstrom
-4.4700 1.5639 0.8019
-1.7595 -2.2943 -3.8244
-1.5044 -5.2615 3.5039

! SrCa2Re | Alexandria via LeMat-Bulk | PBE-GGA | optimized geometry; values from VASP
! - energy relative to the lowest polymorph listed for this composition (eV per atom) = 0.144
! - Fermi-level density of states (states/eV per cell) = 3.8
! - DFT formation energy (kJ per mole of atoms) = 79.52
&SYSTEM
  ibrav = 0, nat = 4, ntyp = 3
/
ATOMIC_SPECIES
Re 186.21 Re.upf
Ca 40.08 Ca.upf
Sr 87.62 Sr.upf
ATOMIC_POSITIONS angstrom
Re -4.6962 -4.5475 2.2897
Ca -1.8929 -1.8583 6.2589
Ca -6.8507 -6.6299 2.4994
Sr -2.2299 -2.1605 1.3170
CELL_PARAMETERS angstrom
-4.6907 -2.2550 -1.4601
-2.4226 -4.6028 -1.4712
-1.9999 -1.9638 6.7048

! YHf2Zr | Alexandria via LeMat-Bulk | PBE-GGA | optimized geometry; values from VASP
! - energy relative to the lowest polymorph listed for this composition (eV per atom) = 0.558
! - Fermi-level density of states (states/eV per cell) = 15.2
! - DFT formation energy (kJ per mole of atoms) = 65.73
&SYSTEM
  ibrav = 0, nat = 8, ntyp = 3
/
ATOMIC_SPECIES
Y 88.91 Y.upf
Hf 178.49 Hf.upf
Zr 91.22 Zr.upf
ATOMIC_POSITIONS angstrom
Y 4.0293 4.0293 0.0000
Y 4.0293 8.0585 1.5590
Hf 6.1428 2.0146 0.7795
Hf 1.9157 6.0439 0.7795
Hf 6.0439 5.9450 2.3385
Hf 10.0732 10.1721 2.3385
Zr 0.0000 0.0000 0.0000
Zr 8.0585 4.0293 1.5590
CELL_PARAMETERS angstrom
8.0585 0.0000 0.0000
0.0000 8.0585 0.0000
4.0293 4.0293 3.1181

! AlTe2Ir | Alexandria via LeMat-Bulk | PBE-GGA | optimized geometry; values from VASP
! - energy relative to the lowest polymorph listed for this composition (eV per atom) = 0.388
! - Fermi-level density of states (states/eV per cell) = 2.2
! - formation energy (no corrections) (meV per atom) = 134
&SYSTEM
  ibrav = 0, nat = 4, ntyp = 3
/
ATOMIC_SPECIES
Ir 192.22 Ir.upf
Te 127.60 Te.upf
Al 26.98 Al.upf
ATOMIC_POSITIONS angstrom
Ir -2.6825 2.0780 1.7618
Te -9.0878 -1.4502 6.2817
Te -1.3882 -0.3136 2.8315
Al -5.5034 -0.8782 3.8040
CELL_PARAMETERS angstrom
-5.9850 1.6431 2.1726
-3.6269 -3.1770 4.4713
5.3679 3.2707 -1.9309

! RhC2 | Alexandria via LeMat-Bulk | PBE-GGA | optimized geometry; values from VASP
! - energy relative to the lowest polymorph listed for this composition (eV per atom) = 0.370
! - Fermi-level density of states (states/eV per cell) = 3.3
! - DFT formation energy (kJ per mole of atoms) = 80.18
&SYSTEM
  ibrav = 0, nat = 6, ntyp = 2
/
ATOMIC_SPECIES
C 12.01 C.upf
Rh 102.91 Rh.upf
ATOMIC_POSITIONS angstrom
C 0.7606 -2.5794 3.5870
C -1.4904 -1.9551 -1.2033
C 1.1878 -2.2327 0.6582
C 0.5577 -3.3860 0.4211
Rh 1.2377 -0.5421 -0.6523
Rh 0.8105 -0.8888 2.2766
CELL_PARAMETERS angstrom
-2.3508 -2.7569 -2.1694
2.4754 -1.0842 -1.3045
1.6209 -1.7775 4.5532

! CdPbBr2 | Alexandria via LeMat-Bulk | PBE-GGA | optimized geometry; values from VASP
! - energy relative to the lowest polymorph listed for this composition (eV per atom) = 0.176
! - Fermi-level density of states (states/eV per cell) = 0.2
! - formation energy (no corrections) (meV per atom) = -362
&SYSTEM
  ibrav = 0, nat = 4, ntyp = 3
/
ATOMIC_SPECIES
Pb 207.20 Pb.upf
Br 79.90 Br.upf
Cd 112.41 Cd.upf
ATOMIC_POSITIONS angstrom
Pb 3.8969 3.8969 3.8969
Br 1.9484 1.9484 1.9484
Br 5.8453 5.8453 5.8453
Cd 0.0000 0.0000 0.0000
CELL_PARAMETERS angstrom
0.0000 3.8969 3.8969
3.8969 0.0000 3.8969
3.8969 3.8969 0.0000

! PuGa3IrPt | Alexandria via LeMat-Bulk | PBE-GGA | optimized geometry; values from VASP
! - Fermi-level density of states (states/eV per cell) = 22.3
! - DFT formation energy (kJ per mole of atoms) = -31.61
&SYSTEM
  ibrav = 0, nat = 12, ntyp = 4
/
ATOMIC_SPECIES
Pu 244.00 Pu.upf
Ga 69.72 Ga.upf
Ir 192.22 Ir.upf
Pt 195.08 Pt.upf
ATOMIC_POSITIONS angstrom
Pu 2.4604 -3.2087 3.5287
Pu 1.6108 -4.3011 -1.4229
Ga 1.7213 -1.2095 1.2919
Ga -0.0677 -1.6019 -1.4094
Ga -0.7388 -6.3751 -1.9535
Ga -0.6131 -3.4018 0.6625
Ga -0.1934 -4.5752 -4.0254
Ga 2.3499 -6.3004 0.8139
Ir 4.1369 -1.5844 1.6020
Ir -0.0657 -5.9255 0.5038
Pt 4.4126 -4.7360 -1.0633
Pt -0.3414 -2.7738 3.1691
CELL_PARAMETERS angstrom
-1.0907 -3.5998 4.1438
-0.2612 -6.1771 -5.4349
5.4231 2.2670 3.3968

! TbNdIrI | Alexandria via LeMat-Bulk | PBE-GGA | optimized geometry; values from VASP
! - Fermi-level density of states (states/eV per cell) = 0.8
! - formation energy (no corrections) (meV per atom) = -957
&SYSTEM
  ibrav = 0, nat = 4, ntyp = 4
/
ATOMIC_SPECIES
Tb 158.93 Tb.upf
Nd 144.24 Nd.upf
Ir 192.22 Ir.upf
I 126.90 I.upf
ATOMIC_POSITIONS angstrom
Tb -1.6924 3.3496 0.3933
Nd 0.3935 -0.2647 5.5257
Ir -1.6930 0.9402 7.0416
I 2.4806 0.9408 2.8875
CELL_PARAMETERS angstrom
4.1729 -0.0008 -0.0008
-2.0862 3.6142 0.0001
-2.0871 -1.2044 8.0467